A plane-wave DFT calculation with PBE was carried out for crystalline HfZrHgP2 at its relaxed geometry.

Unit cell a=4.933 b=4.933 c=5.505 alpha=90.00 beta=90.00 gamma=90.00
Space group P4/mmm (No. 123)
Unique sites:
Hf 0.000 0.000 0.000 x1
Zr 0.000 0.000 0.500 x1
Hg 0.500 0.500 0.000 x1
P 0.000 0.500 0.500 x2

Final energy = -5.289 eV/atom
Energy of formation = 635 meV/atom
Calculated volume = 26.792 Å³ per atom
Total magnetization = 0.00 μB/cell

---

A plane-wave DFT calculation with PBE was carried out for crystalline CsCd3Au at its relaxed geometry.

Unit cell a=5.480 b=5.480 c=5.480 alpha=90.00 beta=90.00 gamma=90.00
Space group Pm-3m (No. 221)
Unique sites:
Cs 0.000 0.000 0.000 x1
Cd 0.000 0.500 0.500 x3
Au 0.500 0.500 0.500 x1

Final energy = -1.499 eV/atom
Energy of formation = -124 meV/atom
Calculated volume = 32.907 Å³ per atom
Total magnetization = 0.00 μB/cell

---

A plane-wave DFT calculation with PBE was carried out for crystalline TlRh3Cl at its relaxed geometry.

Unit cell a=5.099 b=5.099 c=5.099 alpha=90.00 beta=90.00 gamma=90.00
Space group Pm-3m (No. 221)
Unique sites:
Tl 0.000 0.000 0.000 x1
Rh 0.000 0.000 0.500 x3
Cl 0.500 0.500 0.500 x1

Formation energy without anion corrections = 7.94 eV per formula unit
Final energy = -3.665 eV/atom
Calculated volume = 26.513 Å³ per atom
Total magnetization = 3.10 μB/cell

---

A plane-wave DFT calculation with PBE was carried out for crystalline AcSi4Pt6 at its relaxed geometry.

Unit cell a=6.350 b=6.362 c=6.550 alpha=96.98 beta=112.65 gamma=117.41
Space group P1 (No. 1)
Unique sites:
Ac 0.000 0.000 0.000 x1
Si 0.028 0.483 0.845 x1
Si 0.194 0.992 0.544 x1
Si 0.457 0.633 0.445 x1
Si 0.670 0.204 0.186 x1
Pt 0.035 0.590 0.208 x1
Pt 0.129 0.322 0.537 x1
Pt 0.397 0.849 0.834 x1
Pt 0.464 0.498 0.056 x1
Pt 0.595 0.073 0.517 x1
Pt 0.820 0.588 0.511 x1

Formation energy without anion corrections = -8.75 eV per formula unit
Final energy = -6.436 eV/atom
Calculated volume = 18.353 Å³ per atom
Total magnetization = 0.00 μB/cell

---

A plane-wave DFT calculation with PBE was carried out for crystalline UIn2Br7 at its relaxed geometry.

Unit cell a=18.027 b=8.755 c=13.590 alpha=90.00 beta=129.29 gamma=90.00
Space group C2/c (No. 15)
Unique sites:
U 0.000 0.183 0.250 x4
In 0.095 0.272 0.036 x8
Br 0.000 0.132 0.750 x4
Br 0.045 0.465 0.174 x8
Br 0.086 0.134 0.503 x8
Br 0.177 0.133 0.321 x8

Formation energy without anion corrections = -9.62 eV per formula unit
Final energy = -3.810 eV/atom
Calculated volume = 41.499 Å³ per atom
Total magnetization = 4.00 μB/cell

---

A plane-wave DFT calculation with PBE was carried out for crystalline MoBr at its relaxed geometry.

Unit cell a=3.059 b=3.059 c=8.888 alpha=90.00 beta=90.00 gamma=90.00
Space group P4/nmm (No. 129, origin choice 2)
Unique sites:
Mo 0.250 0.250 0.105 x2
Br 0.250 0.250 0.705 x2

Formation energy without anion corrections = 0.44 eV per formula unit
Final energy = -6.032 eV/atom
Calculated volume = 20.798 Å³ per atom
Total magnetization = 0.00 μB/cell

---

A plane-wave DFT calculation with PBE was carried out for crystalline Ca2AsBr at its relaxed geometry.

Unit cell a=7.670 b=7.641 c=3.824 alpha=90.00 beta=106.38 gamma=90.00
Space group C2/m (No. 12)
Unique sites:
Ca 0.250 0.250 0.000 x4
As 0.000 0.000 0.500 x2
Br 0.000 0.500 0.500 x2

Formation energy without anion corrections = -4.87 eV per formula unit
Final energy = -3.798 eV/atom
Calculated volume = 26.875 Å³ per atom
Total magnetization = 0.00 μB/cell

---

A plane-wave DFT calculation with PBE was carried out for crystalline Er2Tm3Ru2 at its relaxed geometry.

Unit cell a=11.715 b=3.855 c=8.344 alpha=90.00 beta=113.54 gamma=90.00
Space group C2/m (No. 12)
Unique sites:
Er 0.164 0.000 0.311 x4
Tm 0.000 0.500 0.500 x2
Tm 0.122 0.500 0.929 x4
Ru 0.178 0.000 0.720 x4

Final energy = -6.248 eV/atom
Energy of formation = -378 meV/atom
Calculated volume = 24.676 Å³ per atom
Total magnetization = 0.00 μB/cell